[1]
Density functional theory data (PBE-GGA) for Tb2GaGe3Rh4 after structural relaxation.

The structure in CIF format:
```
data_Tb2GaGe3Rh4
_chemical_formula_sum 'Tb2 Ga1 Ge3 Rh4'
_cell_length_a 4.207
_cell_length_b 4.207
_cell_length_c 10.137
_cell_angle_alpha 90.00
_cell_angle_beta 90.00
_cell_angle_gamma 90.00
_symmetry_space_group_name_H-M 'P -4 m 2'
_symmetry_Int_Tables_number 115
loop_
_symmetry_equiv_pos_as_xyz
'x,y,z'
'y,-x,-z'
'-x,-y,z'
'-y,x,-z'
'-x,y,z'
'-y,-x,-z'
'x,-y,z'
'y,x,-z'
loop_
_atom_site_label
_atom_site_type_symbol
_atom_site_fract_x
_atom_site_fract_y
_atom_site_fract_z
Tb1 Tb 0.000 0.500 0.248
Ga1 Ga 0.500 0.500 0.000
Ge1 Ge 0.000 0.000 0.000
Ge2 Ge 0.000 0.500 0.631
Rh1 Rh 0.000 0.000 0.500
Rh2 Rh 0.000 0.500 0.868
Rh3 Rh 0.500 0.500 0.500
```

Calculated values
Magnetic moment in μB per formula unit: 0.000
ΔH_f (0 K) in kJ/mol of atoms: -83.5

***

[2]
Density functional theory data (PBE-GGA) for TbGaGeRh3 after structural relaxation.

The structure in CIF format:
```
data_TbGaGeRh3
_chemical_formula_sum 'Tb4 Ga4 Ge4 Rh12'
_cell_length_a 5.533
_cell_length_b 15.760
_cell_length_c 5.538
_cell_angle_alpha 90.00
_cell_angle_beta 90.00
_cell_angle_gamma 90.00
_symmetry_space_group_name_H-M 'C m c m'
_symmetry_Int_Tables_number 63
_symmetry_space_group_name_Hall '-C 2c 2'
loop_
_atom_site_label
_atom_site_type_symbol
_atom_site_fract_x
_atom_site_fract_y
_atom_site_fract_z
Tb1 Tb 0.000 0.203 0.250
Ga1 Ga 0.000 0.101 0.750
Ge1 Ge 0.000 0.409 0.750
Rh1 Rh 0.000 0.256 0.750
Rh2 Rh 0.244 0.000 0.000
```

Calculated values
Magnetic moment in μB per formula unit: 0.000
ΔH_f (0 K) in kJ/mol of atoms: -48.3

***

[3]
Density functional theory data (PBE-GGA) for Tb2GaGe4Rh3 after structural relaxation.

The structure in CIF format:
```
data_Tb2GaGe4Rh3
_chemical_formula_sum 'Tb2 Ga1 Ge4 Rh3'
_cell_length_a 4.191
_cell_length_b 4.191
_cell_length_c 10.407
_cell_angle_alpha 90.00
_cell_angle_beta 90.00
_cell_angle_gamma 90.00
_symmetry_space_group_name_H-M 'P -4 m 2'
_symmetry_Int_Tables_number 115
loop_
_symmetry_equiv_pos_as_xyz
'x,y,z'
'y,-x,-z'
'-x,-y,z'
'-y,x,-z'
'-x,y,z'
'-y,-x,-z'
'x,-y,z'
'y,x,-z'
loop_
_atom_site_label
_atom_site_type_symbol
_atom_site_fract_x
_atom_site_fract_y
_atom_site_fract_z
Tb1 Tb 0.000 0.500 0.241
Ga1 Ga 0.000 0.000 0.500
Ge1 Ge 0.000 0.000 0.000
Ge2 Ge 0.000 0.500 0.645
Ge3 Ge 0.500 0.500 0.000
Rh1 Rh 0.000 0.500 0.875
Rh2 Rh 0.500 0.500 0.500
```

Calculated values
Magnetic moment in μB per formula unit: 0.000
ΔH_f (0 K) in kJ/mol of atoms: -70.9

***

[4]
Density functional theory data (PBE-GGA) for Ga3Tc2Ge3Rh after structural relaxation.

The structure in CIF format:
```
data_Ga3Tc2Ge3Rh
_chemical_formula_sum 'Ga3 Tc2 Ge3 Rh1'
_cell_length_a 7.0320
_cell_length_b 7.0320
_cell_length_c 3.2655
_cell_angle_alpha 90.00
_cell_angle_beta 90.00
_cell_angle_gamma 120.00
_symmetry_space_group_name_H-M 'P -6 2 m'
_symmetry_Int_Tables_number 189
_symmetry_space_group_name_Hall 'P -6 -2'
loop_
_atom_site_label
_atom_site_type_symbol
_atom_site_fract_x
_atom_site_fract_y
_atom_site_fract_z
Ga1 Ga 0.0000 0.7264 0.0000
Tc1 Tc 0.3333 0.6667 0.0000
Ge1 Ge 0.0000 0.3812 0.5000
Rh1 Rh 0.0000 0.0000 0.5000
```

Calculated values
Magnetic moment in μB per formula unit: 0.000
ΔH_f (0 K) in kJ/mol of atoms: -13.9

***

[5]
Density functional theory data (PBE-GGA) for ThGaGeRh3 after structural relaxation.

The structure in CIF format:
```
data_ThGaGeRh3
_chemical_formula_sum 'Th4 Ga4 Ge4 Rh12'
_cell_length_a 6.459
_cell_length_b 11.953
_cell_length_c 5.825
_cell_angle_alpha 90.00
_cell_angle_beta 90.00
_cell_angle_gamma 90.00
_symmetry_space_group_name_H-M 'C m c m'
_symmetry_Int_Tables_number 63
_symmetry_space_group_name_Hall '-C 2c 2'
loop_
_atom_site_label
_atom_site_type_symbol
_atom_site_fract_x
_atom_site_fract_y
_atom_site_fract_z
Th1 Th 0.000 0.198 0.250
Ga1 Ga 0.000 0.453 0.250
Ge1 Ge 0.000 0.129 0.750
Rh1 Rh 0.000 0.329 0.750
Rh2 Rh 0.210 0.000 0.000
```

Calculated values
Magnetic moment in μB per formula unit: 0.000
ΔH_f (0 K) in kJ/mol of atoms: -57.7

***

[6]
Density functional theory data (PBE-GGA) for Th2Ga4Ge2Rh after structural relaxation.

The structure in CIF format:
```
data_Th2Ga4Ge2Rh
_chemical_formula_sum 'Th4 Ga8 Ge4 Rh2'
_cell_length_a 6.264
_cell_length_b 6.264
_cell_length_c 9.133
_cell_angle_alpha 90.00
_cell_angle_beta 90.00
_cell_angle_gamma 90.00
_symmetry_space_group_name_H-M 'I 4/m m m'
_symmetry_Int_Tables_number 139
_symmetry_space_group_name_Hall '-I 4 2'
loop_
_atom_site_label
_atom_site_type_symbol
_atom_site_fract_x
_atom_site_fract_y
_atom_site_fract_z
Th1 Th 0.000 0.500 0.250
Ga1 Ga 0.216 0.216 0.000
Ge1 Ge 0.000 0.000 0.223
Rh1 Rh 0.000 0.000 0.500
```

Calculated values
Magnetic moment in μB per formula unit: 0.000
ΔH_f (0 K) in kJ/mol of atoms: -55.7

***

[7]
Density functional theory data (PBE-GGA) for Th2GaGe3Rh4 after structural relaxation.

The structure in CIF format:
```
data_Th2GaGe3Rh4
_chemical_formula_sum 'Th2 Ga1 Ge3 Rh4'
_cell_length_a 4.231
_cell_length_b 4.231
_cell_length_c 10.344
_cell_angle_alpha 90.00
_cell_angle_beta 90.00
_cell_angle_gamma 90.00
_symmetry_space_group_name_H-M 'P -4 m 2'
_symmetry_Int_Tables_number 115
loop_
_symmetry_equiv_pos_as_xyz
'x,y,z'
'y,-x,-z'
'-x,-y,z'
'-y,x,-z'
'-x,y,z'
'-y,-x,-z'
'x,-y,z'
'y,x,-z'
loop_
_atom_site_label
_atom_site_type_symbol
_atom_site_fract_x
_atom_site_fract_y
_atom_site_fract_z
Th1 Th 0.000 0.500 0.245
Ga1 Ga 0.500 0.500 0.000
Ge1 Ge 0.000 0.000 0.000
Ge2 Ge 0.000 0.500 0.630
Rh1 Rh 0.000 0.000 0.500
Rh2 Rh 0.000 0.500 0.865
Rh3 Rh 0.500 0.500 0.500
```

Calculated values
Magnetic moment in μB per formula unit: 0.000
ΔH_f (0 K) in kJ/mol of atoms: -86.3

***

[8]
Density functional theory data (PBE-GGA) for Tm2GaGe2Rh5 after structural relaxation.

The structure in CIF format:
```
data_Tm2GaGe2Rh5
_chemical_formula_sum 'Tm4 Ga2 Ge4 Rh10'
_cell_length_a 9.693
_cell_length_b 9.693
_cell_length_c 3.541
_cell_angle_alpha 90.00
_cell_angle_beta 90.00
_cell_angle_gamma 90.00
_symmetry_space_group_name_H-M 'P 4/m b m'
_symmetry_Int_Tables_number 127
_symmetry_space_group_name_Hall '-P 4 2ab'
loop_
_atom_site_label
_atom_site_type_symbol
_atom_site_fract_x
_atom_site_fract_y
_atom_site_fract_z
Tm1 Tm 0.173 0.327 0.000
Ga1 Ga 0.000 0.000 0.000
Ge1 Ge 0.126 0.626 0.000
Rh1 Rh 0.000 0.500 0.500
Rh2 Rh 0.067 0.795 0.500
```

Calculated values
Magnetic moment in μB per formula unit: 0.000
ΔH_f (0 K) in kJ/mol of atoms: -80.3

***

[9]
Density functional theory data (PBE-GGA) for Tm2Ga2GeRh5 after structural relaxation.

The structure in CIF format:
```
data_Tm2Ga2GeRh5
_chemical_formula_sum 'Tm4 Ga4 Ge2 Rh10'
_cell_length_a 9.693
_cell_length_b 9.693
_cell_length_c 3.510
_cell_angle_alpha 90.00
_cell_angle_beta 90.00
_cell_angle_gamma 90.00
_symmetry_space_group_name_H-M 'P 4/m b m'
_symmetry_Int_Tables_number 127
_symmetry_space_group_name_Hall '-P 4 2ab'
loop_
_atom_site_label
_atom_site_type_symbol
_atom_site_fract_x
_atom_site_fract_y
_atom_site_fract_z
Tm1 Tm 0.172 0.328 0.000
Ga1 Ga 0.126 0.626 0.000
Ge1 Ge 0.000 0.000 0.000
Rh1 Rh 0.000 0.500 0.500
Rh2 Rh 0.068 0.800 0.500
```

Calculated values
Magnetic moment in μB per formula unit: 0.000
ΔH_f (0 K) in kJ/mol of atoms: -78.8

***

[10]
Density functional theory data (PBE-GGA) for U2GaGe3Rh4 after structural relaxation.

The structure in CIF format:
```
data_U2GaGe3Rh4
_chemical_formula_sum 'U2 Ga1 Ge3 Rh4'
_cell_length_a 4.123
_cell_length_b 4.123
_cell_length_c 10.465
_cell_angle_alpha 90.00
_cell_angle_beta 90.00
_cell_angle_gamma 90.00
_symmetry_space_group_name_H-M 'P -4 m 2'
_symmetry_Int_Tables_number 115
loop_
_symmetry_equiv_pos_as_xyz
'x,y,z'
'y,-x,-z'
'-x,-y,z'
'-y,x,-z'
'-x,y,z'
'-y,-x,-z'
'x,-y,z'
'y,x,-z'
loop_
_atom_site_label
_atom_site_type_symbol
_atom_site_fract_x
_atom_site_fract_y
_atom_site_fract_z
U1 U 0.000 0.500 0.244
Ga1 Ga 0.500 0.500 0.000
Ge1 Ge 0.000 0.000 0.000
Ge2 Ge 0.000 0.500 0.630
Rh1 Rh 0.000 0.000 0.500
Rh2 Rh 0.000 0.500 0.861
Rh3 Rh 0.500 0.500 0.500
```

Calculated values
Magnetic moment in μB per formula unit: 4.267
ΔH_f (0 K) in kJ/mol of atoms: -52.9